# Dy2Y6TmSc3

An optimized crystal structure of Dy2Y6TmSc3 (GGA-PBE, Alexandria).

Lattice parameters (Å, degrees): 6.0528 6.0528 11.4950 95.03 95.03 119.96
Fractional positions:
Dy (0.1667, 0.8333, 0.0000)
Dy (0.8333, 0.1667, 0.0000)
Y (0.0806, 0.4138, 0.7415)
Y (0.2531, 0.2531, 0.2585)
Y (0.4138, 0.0806, 0.7415)
Y (0.5862, 0.9194, 0.2585)
Y (0.7469, 0.7469, 0.7415)
Y (0.9194, 0.5862, 0.2585)
Tm (0.5000, 0.5000, 0.0000)
Sc (0.0000, 0.0000, 0.5000)
Sc (0.3336, 0.6664, 0.5000)
Sc (0.6664, 0.3336, 0.5000)

density of states at the Fermi level	19.43	states/eV per cell
calculated formation energy	0.0526	eV per atom
energy	-5.902	eV/atom

# Dy4YTm2Sc

An optimized crystal structure of Dy4YTm2Sc (GGA-PBE, Alexandria).

Lattice parameters (Å, degrees): 4.9541 4.9541 9.8565 90.00 90.00 90.00
Fractional positions:
Dy (0.0000, 0.5000, 0.2440)
Dy (0.0000, 0.5000, 0.7560)
Dy (0.5000, 0.0000, 0.2440)
Dy (0.5000, 0.0000, 0.7560)
Y (0.0000, 0.0000, 0.5000)
Tm (0.0000, 0.0000, 0.0000)
Tm (0.5000, 0.5000, 0.5000)
Sc (0.5000, 0.5000, 0.0000)

density of states at the Fermi level	12.20	states/eV per cell
calculated formation energy	0.0343	eV per atom
energy	-4.984	eV/atom

# Dy2YTm6Sc

An optimized crystal structure of Dy2YTm6Sc (GGA-PBE, Alexandria).

Lattice parameters (Å, degrees): 8.6023 8.6023 9.3289 93.82 93.82 117.72
Fractional positions:
Dy (0.1926, 0.3001, 0.4536)
Dy (0.3001, 0.1926, 0.9536)
Dy (0.6999, 0.8074, 0.0464)
Dy (0.8074, 0.6999, 0.5464)
Y (0.4790, 0.5210, 0.7500)
Y (0.5210, 0.4790, 0.2500)
Tm (0.0031, 0.7904, 0.8839)
Tm (0.0676, 0.5107, 0.6898)
Tm (0.2096, 0.9969, 0.6161)
Tm (0.2508, 0.6301, 0.0568)
Tm (0.3699, 0.7492, 0.4432)
Tm (0.4893, 0.9324, 0.8102)
Tm (0.5107, 0.0676, 0.1898)
Tm (0.6301, 0.2508, 0.5568)
Tm (0.7492, 0.3699, 0.9432)
Tm (0.7904, 0.0031, 0.3839)
Tm (0.9324, 0.4893, 0.3102)
Tm (0.9969, 0.2096, 0.1161)
Sc (0.0876, 0.9124, 0.2500)
Sc (0.9124, 0.0876, 0.7500)

density of states at the Fermi level	25.08	states/eV per cell
calculated formation energy	0.1250	eV per atom
energy	-4.758	eV/atom

# Dy2YTm2Sc

An optimized crystal structure of Dy2YTm2Sc (GGA-PBE, Alexandria).

Lattice parameters (Å, degrees): 6.8771 9.4983 5.4910 90.00 90.00 90.00
Fractional positions:
Dy (0.2464, 0.1664, 0.0000)
Dy (0.2536, 0.6664, 0.5000)
Dy (0.7464, 0.3336, 0.5000)
Dy (0.7536, 0.8336, 0.0000)
Y (0.0000, 0.5000, 0.0000)
Y (0.5000, 0.0000, 0.5000)
Tm (0.2487, 0.8330, 0.0000)
Tm (0.2513, 0.3330, 0.5000)
Tm (0.7487, 0.6670, 0.5000)
Tm (0.7513, 0.1670, 0.0000)
Sc (0.0000, 0.0000, 0.5000)
Sc (0.5000, 0.5000, 0.0000)

density of states at the Fermi level	24.09	states/eV per cell
calculated formation energy	0.0963	eV per atom
energy	-5.061	eV/atom

# DyY2TmSc2

An optimized crystal structure of DyY2TmSc2 (GGA-PBE, Alexandria).

Lattice parameters (Å, degrees): 6.8311 9.3942 5.4429 90.00 90.00 90.00
Fractional positions:
Dy (0.0000, 0.0000, 0.0000)
Dy (0.5000, 0.5000, 0.5000)
Y (0.2489, 0.3339, 0.0000)
Y (0.2511, 0.8339, 0.5000)
Y (0.7489, 0.1661, 0.5000)
Y (0.7511, 0.6661, 0.0000)
Tm (0.0000, 0.5000, 0.5000)
Tm (0.5000, 0.0000, 0.0000)
Sc (0.2499, 0.1674, 0.5000)
Sc (0.2501, 0.6674, 0.0000)
Sc (0.7499, 0.3326, 0.0000)
Sc (0.7501, 0.8326, 0.5000)

density of states at the Fermi level	24.77	states/eV per cell
calculated formation energy	0.0730	eV per atom
energy	-5.704	eV/atom

# DyY3TmSc

An optimized crystal structure of DyY3TmSc (GGA-PBE, Alexandria).

Lattice parameters (Å, degrees): 9.4033 3.5534 11.4283 90.00 105.16 90.00
Fractional positions:
Dy (0.0849, 0.2500, 0.1350)
Dy (0.9151, 0.7500, 0.8650)
Y (0.2378, 0.2500, 0.8963)
Y (0.2880, 0.7500, 0.6508)
Y (0.3541, 0.2500, 0.4004)
Y (0.6459, 0.7500, 0.5996)
Y (0.7120, 0.2500, 0.3492)
Y (0.7622, 0.7500, 0.1037)
Tm (0.4202, 0.7500, 0.1507)
Tm (0.5798, 0.2500, 0.8493)
Sc (0.0305, 0.7500, 0.3812)
Sc (0.9695, 0.2500, 0.6188)

density of states at the Fermi level	19.89	states/eV per cell
calculated formation energy	0.0465	eV per atom
energy	-5.753	eV/atom

# Dy2YTm4Sc

An optimized crystal structure of Dy2YTm4Sc (GGA-PBE, Alexandria).

Lattice parameters (Å, degrees): 4.9301 4.9301 9.8416 90.00 90.00 90.00
Fractional positions:
Dy (0.0000, 0.0000, 0.0000)
Dy (0.5000, 0.5000, 0.5000)
Y (0.0000, 0.0000, 0.5000)
Tm (0.0000, 0.5000, 0.2444)
Tm (0.0000, 0.5000, 0.7556)
Tm (0.5000, 0.0000, 0.2444)
Tm (0.5000, 0.0000, 0.7556)
Sc (0.5000, 0.5000, 0.0000)

density of states at the Fermi level	12.06	states/eV per cell
calculated formation energy	0.0369	eV per atom
energy	-4.949	eV/atom

# Dy2Y4TmSc

An optimized crystal structure of Dy2Y4TmSc (GGA-PBE, Alexandria).

Lattice parameters (Å, degrees): 4.9776 4.9776 9.9248 90.00 90.00 90.00
Fractional positions:
Dy (0.0000, 0.0000, 0.0000)
Dy (0.5000, 0.5000, 0.5000)
Y (0.0000, 0.5000, 0.2460)
Y (0.0000, 0.5000, 0.7540)
Y (0.5000, 0.0000, 0.2460)
Y (0.5000, 0.0000, 0.7540)
Tm (0.0000, 0.0000, 0.5000)
Sc (0.5000, 0.5000, 0.0000)

density of states at the Fermi level	12.39	states/eV per cell
calculated formation energy	0.0376	eV per atom
energy	-5.695	eV/atom

# DyYTmSc3

An optimized crystal structure of DyYTmSc3 (GGA-PBE, Alexandria).

Lattice parameters (Å, degrees): 8.5594 8.5594 7.9233 93.21 93.21 35.67
Fractional positions:
Dy (0.2235, 0.2235, 0.4035)
Dy (0.7765, 0.7765, 0.5965)
Y (0.0925, 0.0925, 0.0823)
Y (0.9075, 0.9075, 0.9177)
Tm (0.4192, 0.4192, 0.6227)
Tm (0.5808, 0.5808, 0.3773)
Sc (0.0625, 0.0625, 0.6514)
Sc (0.2478, 0.2478, 0.8531)
Sc (0.3890, 0.3890, 0.1698)
Sc (0.6110, 0.6110, 0.8302)
Sc (0.7522, 0.7522, 0.1469)
Sc (0.9375, 0.9375, 0.3486)

density of states at the Fermi level	25.57	states/eV per cell
calculated formation energy	0.1194	eV per atom
energy	-5.636	eV/atom

# Dy2YTmSc

An optimized crystal structure of Dy2YTmSc (GGA-PBE, Alexandria).

Lattice parameters (Å, degrees): 6.9083 6.9083 7.0592 90.00 90.00 108.07
Fractional positions:
Dy (0.1979, 0.1979, 0.0000)
Dy (0.1979, 0.1979, 0.5000)
Dy (0.8021, 0.8021, 0.0000)
Dy (0.8021, 0.8021, 0.5000)
Y (0.2379, 0.7621, 0.7500)
Y (0.7621, 0.2379, 0.2500)
Tm (0.2234, 0.7766, 0.2500)
Tm (0.7766, 0.2234, 0.7500)
Sc (0.4900, 0.5100, 0.2500)
Sc (0.5100, 0.4900, 0.7500)

density of states at the Fermi level	14.24	states/eV per cell
calculated formation energy	0.3596	eV per atom
energy	-4.935	eV/atom

# DyY6TmSc2

An optimized crystal structure of DyY6TmSc2 (GGA-PBE, Alexandria).

Lattice parameters (Å, degrees): 8.6147 8.6147 9.4295 94.17 94.17 117.14
Fractional positions:
Dy (0.0938, 0.9062, 0.7500)
Dy (0.9062, 0.0938, 0.2500)
Y (0.0029, 0.7989, 0.3833)
Y (0.0644, 0.5172, 0.1807)
Y (0.2011, 0.9971, 0.1167)
Y (0.2581, 0.6163, 0.5541)
Y (0.3837, 0.7419, 0.9459)
Y (0.4828, 0.9356, 0.3193)
Y (0.5172, 0.0644, 0.6807)
Y (0.6163, 0.2581, 0.0541)
Y (0.7419, 0.3837, 0.4459)
Y (0.7989, 0.0029, 0.8833)
Y (0.9356, 0.4828, 0.8193)
Y (0.9971, 0.2011, 0.6167)
Tm (0.4736, 0.5264, 0.2500)
Tm (0.5264, 0.4736, 0.7500)
Sc (0.2028, 0.3061, 0.9520)
Sc (0.3061, 0.2028, 0.4520)
Sc (0.6939, 0.7972, 0.5480)
Sc (0.7972, 0.6939, 0.0480)

density of states at the Fermi level	33.94	states/eV per cell
calculated formation energy	0.1263	eV per atom
energy	-5.926	eV/atom

# DyYTmSc

An optimized crystal structure of DyYTmSc (GGA-PBE, Alexandria).

Lattice parameters (Å, degrees): 4.9180 4.9180 9.7458 90.00 90.00 90.00
Fractional positions:
Dy (0.0000, 0.0000, 0.0000)
Dy (0.5000, 0.5000, 0.5000)
Y (0.0000, 0.5000, 0.7500)
Y (0.5000, 0.0000, 0.2500)
Tm (0.0000, 0.5000, 0.2500)
Tm (0.5000, 0.0000, 0.7500)
Sc (0.0000, 0.0000, 0.5000)
Sc (0.5000, 0.5000, 0.0000)

energy above the lowest structure with this stoichiometry	0	meV/atom
density of states at the Fermi level	12.93	states/eV per cell
calculated formation energy	0.0476	eV per atom
energy	-5.420	eV/atom